# Li3B8C8 (PBE, optimized geometry)
# Formation energy (eV/f.u.): 1.77
# Space-group type: No. 1
# E above lowest polymorph (meV per atom): 86.6
# Total energy (Ry per atom): -0.50747
# Density (g cm⁻³): 1.8
data_Li3B8C8
_cell_length_a 7.722
_cell_length_b 7.766
_cell_length_c 5.362
_cell_angle_alpha 99.93
_cell_angle_beta 99.99
_cell_angle_gamma 35.35
_space_group_name_H-M_alt 'P 1'
_space_group_IT_number 1
_space_group_name_Hall 'P 1'
loop_
_atom_site_label
_atom_site_type_symbol
_atom_site_fract_x
_atom_site_fract_y
_atom_site_fract_z
_atom_site_occupancy
Li1 Li 0.983 0.018 0.000 1
Li2 Li 0.742 0.757 0.374 1
Li3 Li 0.746 0.753 0.876 1
C1 C 0.701 0.040 0.185 1
C2 C 0.296 0.949 0.311 1
C3 C 0.205 0.544 0.437 1
C4 C 0.805 0.461 0.566 1
C5 C 0.806 0.457 0.066 1
C6 C 0.701 0.040 0.686 1
C7 C 0.203 0.548 0.938 1
C8 C 0.296 0.949 0.811 1
B1 B 0.037 0.715 0.189 1
B2 B 0.979 0.286 0.317 1
B3 B 0.978 0.286 0.815 1
B4 B 0.464 0.777 0.560 1
B5 B 0.467 0.776 0.061 1
B6 B 0.036 0.715 0.687 1
B7 B 0.530 0.214 0.436 1
B8 B 0.525 0.215 0.935 1